1.
TiTlS2 after structural relaxation, computed with PBE.

Output
As for the space-group type: Cmcm (63).

Cell: 14.428 14.428 3.650 Å, 90.00 90.00 166.89°
Fractional coordinates of all 8 atoms:
Ti 0.191 0.809 0.750
Ti 0.809 0.191 0.250
Tl 0.448 0.552 0.750
Tl 0.552 0.448 0.250
S 0.282 0.718 0.750
S 0.371 0.629 0.250
S 0.629 0.371 0.750
S 0.718 0.282 0.250

2.
TiTlS2 after structural relaxation, computed with PBE.

Output
As for the space-group type: Cm (8).

Cell: 3.471 3.471 8.178 Å, 90.08 90.08 60.04°
Fractional coordinates of all 4 atoms:
Ti 0.000 0.000 0.000
Tl 0.001 0.001 0.500
S 0.334 0.334 0.174
S 0.666 0.666 0.826

3.
TiTlS2 after structural relaxation, computed with PBE.

Output
As for the space-group type: P3m1 (156).

Cell: 3.434 3.434 8.739 Å, 90.00 90.00 120.00°
Fractional coordinates of all 4 atoms:
Ti 0.000 0.000 0.000
Tl 0.333 0.667 0.489
S 0.333 0.667 0.837
S 0.667 0.333 0.165

no.,uncorrected formation energy (eV/f.u.)
1,-3.4
2,-4.1
3,-4.1